A | Computed, not measured: BaCa after structural relaxation at the PBE-GGA level of DFT.

Unit cell a=6.550 b=6.550 c=12.117 alpha=90.00 beta=90.00 gamma=120.00
Fractional coordinates of all 8 atoms:
Ca: 0.000 0.000 0.250
Ca: 0.667 0.333 0.250
Ca: 0.333 0.667 0.750
Ca: 0.000 0.000 0.750
Ba: 0.667 0.333 0.580
Ba: 0.333 0.667 0.080
Ba: 0.667 0.333 0.920
Ba: 0.333 0.667 0.420

Values from the calculation:
Symmetry ... P6_3/mmc (194)

B | Computed, not measured: BaCa after structural relaxation at the PBE-GGA level of DFT.

Unit cell a=7.637 b=7.637 c=7.533 alpha=90.00 beta=90.00 gamma=90.00
Fractional coordinates of all 8 atoms:
Ca: 0.323 0.677 0.000
Ca: 0.823 0.823 0.500
Ba: 0.687 0.313 0.500
Ca: 0.177 0.177 0.500
Ba: 0.187 0.187 0.000
Ba: 0.813 0.813 0.000
Ba: 0.313 0.687 0.500
Ca: 0.677 0.323 0.000

Values from the calculation:
Symmetry ... P4_2/mnm (136)

Ranking the structures above by stability puts A first and B last.